Compound: SrIr2S
Source: the Alexandria database
Functional: PBE
Structure: relaxed

Lattice parameters (Å, degrees): 5.019 5.019 15.223 90.00 90.00 90.00
Space group I-42d (No. 122)
Inequivalent atoms, fractional coordinates:
Sr  0.000  0.000  0.000 [4 per cell]
Ir  0.052  0.750  0.625 [8 per cell]
S  0.000  0.000  0.500 [4 per cell]

As for the raw total energy: -6.21 eV per atom.